(1)
# BiTe2ICl

BiTe2ICl after structural relaxation (PBE-GGA, Alexandria via LeMat-Bulk).

Lattice parameters (Å, degrees): 5.591 5.591 5.399 90.00 90.00 90.00
Atoms (fractional coordinates):
Bi (0.000, 0.000, 0.000)
Te (0.000, 0.500, 0.500)
Te (0.500, 0.000, 0.500)
I (0.500, 0.500, 0.000)
Cl (0.500, 0.500, 0.500)

## Properties
Energy relative to the elements, uncorrected = 596 meV/atom
Fermi-level density of states = 5.092 states/eV per cell
Mass density = 6.2 g/cm³
Energy above the most stable polymorph in this dataset = 0.186 eV per atom


(2)
# BiTe2ICl

BiTe2ICl after structural relaxation (PBE-GGA, Alexandria via LeMat-Bulk).

Lattice parameters (Å, degrees): 6.135 6.135 6.031 90.00 90.00 90.00
Atoms (fractional coordinates):
Bi (0.000, 0.000, 0.000)
Te (0.000, 0.500, 0.000)
Te (0.500, 0.000, 0.000)
I (0.000, 0.000, 0.500)
Cl (0.500, 0.500, 0.500)

## Properties
Energy relative to the elements, uncorrected = 410 meV/atom
Fermi-level density of states = 4.830 states/eV per cell
Mass density = 4.6 g/cm³
Energy above the most stable polymorph in this dataset = 0.000 eV per atom


(3)
# BiTe2ICl

BiTe2ICl after structural relaxation (PBE-GGA, Alexandria via LeMat-Bulk).

Lattice parameters (Å, degrees): 5.909 5.909 5.241 90.00 90.00 90.00
Atoms (fractional coordinates):
Bi (0.000, 0.000, 0.000)
Te (0.000, 0.500, 0.500)
Te (0.500, 0.000, 0.500)
I (0.500, 0.500, 0.500)
Cl (0.500, 0.500, 0.000)

## Properties
Energy relative to the elements, uncorrected = 515 meV/atom
Fermi-level density of states = 4.776 states/eV per cell
Mass density = 5.7 g/cm³
Energy above the most stable polymorph in this dataset = 0.105 eV per atom


(4)
# Ti2BiICl

Ti2BiICl after structural relaxation (PBE-GGA, Alexandria via LeMat-Bulk).

Lattice parameters (Å, degrees): 4.596 4.596 6.392 90.00 90.00 90.00
Atoms (fractional coordinates):
Ti (0.000, 0.500, 0.000)
Ti (0.500, 0.000, 0.000)
Bi (0.000, 0.000, 0.500)
I (0.500, 0.500, 0.500)
Cl (0.500, 0.500, 0.000)

## Properties
Energy relative to the elements, uncorrected = 443 meV/atom
Fermi-level density of states = 7.855 states/eV per cell
Mass density = 5.7 g/cm³


(5)
# InBiCl4

InBiCl4 after structural relaxation (PBE-GGA, Alexandria via LeMat-Bulk).

Lattice parameters (Å, degrees): 9.598 9.598 7.249 104.37 104.37 121.12
Atoms (fractional coordinates):
In (0.174, 0.826, 0.750)
In (0.826, 0.174, 0.250)
Bi (0.434, 0.566, 0.750)
Bi (0.566, 0.434, 0.250)
Cl (0.124, 0.480, 0.750)
Cl (0.256, 0.365, 0.311)
Cl (0.365, 0.256, 0.811)
Cl (0.480, 0.124, 0.250)
Cl (0.520, 0.876, 0.750)
Cl (0.635, 0.744, 0.189)
Cl (0.744, 0.635, 0.689)
Cl (0.876, 0.520, 0.250)

## Properties
Energy relative to the elements, uncorrected = -944 meV/atom
Fermi-level density of states = 0.000 states/eV per cell
Mass density = 3.1 g/cm³


(6)
# In2BiCl5

In2BiCl5 after structural relaxation (PBE-GGA, Alexandria via LeMat-Bulk).

Lattice parameters (Å, degrees): 12.250 8.113 8.004 90.00 130.61 90.00
Atoms (fractional coordinates):
In (0.000, 0.000, 0.000)
In (0.034, 0.500, 0.647)
In (0.500, 0.500, 0.000)
In (0.534, 0.000, 0.647)
Bi (0.333, 0.500, 0.326)
Bi (0.833, 0.000, 0.326)
Cl (0.064, 0.500, 0.067)
Cl (0.328, 0.274, 0.079)
Cl (0.328, 0.726, 0.079)
Cl (0.341, 0.266, 0.585)
Cl (0.341, 0.734, 0.585)
Cl (0.564, 0.000, 0.067)
Cl (0.828, 0.226, 0.079)
Cl (0.828, 0.774, 0.079)
Cl (0.841, 0.234, 0.585)
Cl (0.841, 0.766, 0.585)

## Properties
Energy relative to the elements, uncorrected = -869 meV/atom
Fermi-level density of states = 0.000 states/eV per cell
Mass density = 3.4 g/cm³
Energy above the most stable polymorph in this dataset = 0.031 eV per atom


(7)
# In2BiCl

In2BiCl after structural relaxation (PBE-GGA, Alexandria via LeMat-Bulk).

Lattice parameters (Å, degrees): 5.657 5.657 3.563 90.00 90.00 90.00
Atoms (fractional coordinates):
In (0.000, 0.500, 0.000)
In (0.500, 0.000, 0.000)
Bi (0.000, 0.000, 0.500)
Cl (0.500, 0.500, 0.500)

## Properties
Energy relative to the elements, uncorrected = -306 meV/atom
Fermi-level density of states = 1.731 states/eV per cell
Mass density = 6.9 g/cm³
Energy above the most stable polymorph in this dataset = 0.000 eV per atom


(8)
# In2BiCl

In2BiCl after structural relaxation (PBE-GGA, Alexandria via LeMat-Bulk).

Lattice parameters (Å, degrees): 6.269 6.269 16.172 90.00 90.00 90.00
Atoms (fractional coordinates):
In (0.232, 0.250, 0.125)
In (0.250, 0.732, 0.375)
In (0.250, 0.768, 0.875)
In (0.268, 0.250, 0.625)
In (0.732, 0.750, 0.625)
In (0.750, 0.232, 0.875)
In (0.750, 0.268, 0.375)
In (0.768, 0.750, 0.125)
Bi (0.000, 0.000, 0.500)
Bi (0.000, 0.500, 0.750)
Bi (0.500, 0.000, 0.250)
Bi (0.500, 0.500, 0.000)
Cl (0.000, 0.000, 0.000)
Cl (0.000, 0.500, 0.250)
Cl (0.500, 0.000, 0.750)
Cl (0.500, 0.500, 0.500)

## Properties
Energy relative to the elements, uncorrected = -133 meV/atom
Fermi-level density of states = 8.731 states/eV per cell
Mass density = 5.0 g/cm³
Energy above the most stable polymorph in this dataset = 0.173 eV per atom


(9)
# In2Bi2Cl7

In2Bi2Cl7 after structural relaxation (PBE-GGA, Alexandria via LeMat-Bulk).

Lattice parameters (Å, degrees): 7.445 7.445 6.823 91.80 91.80 72.41
Atoms (fractional coordinates):
In (0.229, 0.771, 0.000)
In (0.771, 0.229, 0.000)
Bi (0.233, 0.233, 0.582)
Bi (0.767, 0.767, 0.418)
Cl (0.000, 0.000, 0.500)
Cl (0.075, 0.499, 0.264)
Cl (0.437, 0.437, 0.751)
Cl (0.499, 0.075, 0.264)
Cl (0.501, 0.925, 0.736)
Cl (0.563, 0.563, 0.249)
Cl (0.925, 0.501, 0.736)

## Properties
Energy relative to the elements, uncorrected = -816 meV/atom
Fermi-level density of states = 2.846 states/eV per cell
Mass density = 4.1 g/cm³


(10)
# In3BiCl6

In3BiCl6 after structural relaxation (PBE-GGA, Alexandria via LeMat-Bulk).

Lattice parameters (Å, degrees): 9.043 9.043 9.043 94.51 94.51 94.51
Atoms (fractional coordinates):
In (0.078, 0.759, 0.579)
In (0.241, 0.421, 0.922)
In (0.421, 0.922, 0.241)
In (0.579, 0.078, 0.759)
In (0.759, 0.579, 0.078)
In (0.922, 0.241, 0.421)
Bi (0.000, 0.000, 0.000)
Bi (0.500, 0.500, 0.500)
Cl (0.045, 0.711, 0.915)
Cl (0.085, 0.955, 0.289)
Cl (0.205, 0.432, 0.542)
Cl (0.289, 0.085, 0.955)
Cl (0.432, 0.542, 0.205)
Cl (0.458, 0.795, 0.568)
Cl (0.542, 0.205, 0.432)
Cl (0.568, 0.458, 0.795)
Cl (0.711, 0.915, 0.045)
Cl (0.795, 0.568, 0.458)
Cl (0.915, 0.045, 0.711)
Cl (0.955, 0.289, 0.085)

## Properties
Energy relative to the elements, uncorrected = -904 meV/atom
Fermi-level density of states = 0.000 states/eV per cell
Mass density = 3.5 g/cm³


(11)
# InBi2Cl8

InBi2Cl8 after structural relaxation (PBE-GGA, Alexandria via LeMat-Bulk).

Lattice parameters (Å, degrees): 7.409 7.409 5.845 99.14 99.14 110.44
Atoms (fractional coordinates):
In (0.000, 0.000, 0.000)
Bi (0.309, 0.691, 0.500)
Bi (0.691, 0.309, 0.500)
Cl (0.071, 0.336, 0.610)
Cl (0.221, 0.779, 0.000)
Cl (0.336, 0.071, 0.610)
Cl (0.366, 0.366, 0.198)
Cl (0.634, 0.634, 0.802)
Cl (0.664, 0.929, 0.390)
Cl (0.779, 0.221, 0.000)
Cl (0.929, 0.664, 0.390)

## Properties
Energy relative to the elements, uncorrected = -799 meV/atom
Fermi-level density of states = 2.657 states/eV per cell
Mass density = 4.7 g/cm³


(12)
# InBiCl3

InBiCl3 after structural relaxation (PBE-GGA, Alexandria via LeMat-Bulk).

Lattice parameters (Å, degrees): 5.351 5.351 5.351 90.00 90.00 90.00
Atoms (fractional coordinates):
In (0.000, 0.000, 0.000)
Bi (0.500, 0.500, 0.500)
Cl (0.000, 0.000, 0.500)
Cl (0.000, 0.500, 0.000)
Cl (0.500, 0.000, 0.000)

## Properties
Energy relative to the elements, uncorrected = -327 meV/atom
Fermi-level density of states = 6.561 states/eV per cell
Mass density = 4.7 g/cm³
Energy above the most stable polymorph in this dataset = 0.466 eV per atom